No. 1
DFT (GGA-PBE) results for a relaxed V2Ru4Rh crystal.

Output
The density comes out at 9.852 g/cm3. The calculation puts the calculated formation energy at 10.09 kJ per mole of atoms. The density of states at the Fermi level is 15.603 states/eV per cell. The value obtained for the total energy is -123.921 eV/cell. The value obtained for the total magnetic moment is 0.0 μB per formula unit.

Lattice parameters (Å, degrees): 4.900 9.335 4.877 90.00 113.05 90.00
Space group P2_1/c (No. 14)
One atom of each set of equivalent atoms:
V (0.160, 0.000, 0.336) x4
Ru (0.006, 0.211, 0.995) x4
Ru (0.495, 0.698, 0.008) x4
Rh (0.500, 0.000, 0.000) x2

---

No. 2
DFT (GGA-PBE) results for a relaxed ScCd2In crystal.

Output
The density comes out at 7.034 g/cm3. The calculation puts the calculated formation energy at -17.08 kJ per mole of atoms. The density of states at the Fermi level is 2.179 states/eV per cell. The value obtained for the total energy is -11.608 eV/cell. The value obtained for the total magnetic moment is 0.0 μB per formula unit.

Lattice parameters (Å, degrees): 3.161 4.647 6.379 90.00 104.29 90.00
Space group Pm (No. 6)
One atom of each set of equivalent atoms:
Sc (0.000, 0.000, 0.000) x1
Cd (0.249, 0.000, 0.504) x1
Cd (0.642, 0.500, 0.286) x1
In (0.400, 0.500, 0.798) x1

---

No. 3
DFT (GGA-PBE) results for a relaxed Mg3Ni8Sn crystal.

Output
The density comes out at 6.824 g/cm3. The calculation puts the calculated formation energy at -18.41 kJ per mole of atoms. The density of states at the Fermi level is 40.556 states/eV per cell. The value obtained for the total energy is -171.981 eV/cell. The value obtained for the total magnetic moment is 0.0 μB per formula unit.

Lattice parameters (Å, degrees): 4.8543 4.8543 23.6497 90.00 90.00 120.00
Space group R3m (No. 160, hexagonal axes)
One atom of each set of equivalent atoms:
Mg (0.0000, 0.0000, 0.0000) x3
Mg (0.0000, 0.0000, 0.1233) x3
Mg (0.0000, 0.0000, 0.4951) x3
Ni (0.0000, 0.0000, 0.3102) x3
Ni (0.0000, 0.0000, 0.8098) x3
Ni (0.0013, 0.5006, 0.5599) x9
Ni (0.1672, 0.3345, 0.3934) x9
Sn (0.0000, 0.0000, 0.6212) x3

---

No. 4
DFT (GGA-PBE) results for a relaxed La2IrPdC crystal.

Output
The density comes out at 8.884 g/cm3. The calculation puts the calculated formation energy at -56.60 kJ per mole of atoms. The density of states at the Fermi level is 1.986 states/eV per cell. The value obtained for the total energy is -36.065 eV/cell. The value obtained for the total magnetic moment is 0.0 μB per formula unit.

Lattice parameters (Å, degrees): 5.336 5.336 3.862 90.00 90.00 90.00
Space group P4/mmm (No. 123)
One atom of each set of equivalent atoms:
La (0.000, 0.500, 0.000) x2
Ir (0.000, 0.000, 0.500) x1
Pd (0.500, 0.500, 0.500) x1
C (0.000, 0.000, 0.000) x1

---

No. 5
DFT (GGA-PBE) results for a relaxed Ba3Te crystal.

Output
The density comes out at 5.211 g/cm3. The density of states at the Fermi level is 10.769 states/eV per cell. The value obtained for the total energy is -22.216 eV/cell. The value obtained for the total magnetic moment is 1.0 μB per formula unit. For the energy relative to the lowest polymorph listed for this composition, the calculation gives 227.5 meV per atom.

Lattice parameters (Å, degrees): 7.865 7.875 5.552 90.00 90.00 90.00
Space group Cmmm (No. 65)
One atom of each set of equivalent atoms:
Ba (0.000, 0.000, 0.000) x2
Ba (0.250, 0.250, 0.500) x4
Te (0.000, 0.500, 0.000) x2

---

No. 6
DFT (GGA-PBE) results for a relaxed Sm4GaSe2S crystal.

Output
The density comes out at 6.997 g/cm3. The density of states at the Fermi level is 3.169 states/eV per cell. The value obtained for the total energy is -45.638 eV/cell. The value obtained for the total magnetic moment is 0.0 μB per formula unit.

Lattice parameters (Å, degrees): 7.206 4.118 7.285 90.00 109.01 90.00
Space group P2/m (No. 10)
One atom of each set of equivalent atoms:
Sm (0.245, 0.000, 0.236) x2
Sm (0.251, 0.500, 0.757) x2
Ga (0.500, 0.000, 0.000) x1
Se (0.000, 0.000, 0.500) x1
Se (0.500, 0.500, 0.500) x1
S (0.000, 0.500, 0.000) x1

---

No. 7
DFT (GGA-PBE) results for a relaxed Mg5Cd3 crystal.

Output
The density comes out at 4.215 g/cm3. The calculation puts the calculated formation energy at -6.52 kJ per mole of atoms. The density of states at the Fermi level is 5.415 states/eV per cell. The value obtained for the total energy is -22.517 eV/cell. The value obtained for the total magnetic moment is 0.0 μB per formula unit. For the energy relative to the lowest polymorph listed for this composition, the calculation gives 13.8 meV per atom.

Lattice parameters (Å, degrees): 8.4771 8.4771 5.8098 90.00 90.00 120.00
Space group P6_3/mcm (No. 193)
One atom of each set of equivalent atoms:
Mg (0.0000, 0.2412, 0.2500) x6
Mg (0.3333, 0.6667, 0.0000) x4
Cd (0.0000, 0.3970, 0.7500) x6

---

No. 8
DFT (GGA-PBE) results for a relaxed SnPC crystal.

Output
The density comes out at 4.397 g/cm3. The calculation puts the calculated formation energy at 59.44 kJ per mole of atoms. The density of states at the Fermi level is 1.212 states/eV per cell. The value obtained for the total energy is -16.789 eV/cell. The value obtained for the total magnetic moment is 0.0 μB per formula unit. For the energy relative to the lowest polymorph listed for this composition, the calculation gives 166.0 meV per atom.

Lattice parameters (Å, degrees): 2.907 3.255 6.606 90.00 102.37 90.00
Space group Pm (No. 6)
One atom of each set of equivalent atoms:
Sn (0.000, 0.000, 0.000) x1
P (0.741, 0.000, 0.493) x1
C (0.168, 0.000, 0.345) x1

---

No. 9
DFT (GGA-PBE) results for a relaxed TlTeAu crystal.

Output
The density comes out at 10.145 g/cm3. The density of states at the Fermi level is 2.573 states/eV per cell. The value obtained for the total energy is -17.984 eV/cell. The value obtained for the total magnetic moment is 0.0 μB per formula unit.

Lattice parameters (Å, degrees): 6.561 3.284 8.668 90.00 111.99 90.00
Space group P2/m (No. 10)
One atom of each set of equivalent atoms:
Tl (0.153, 0.000, 0.310) x2
Te (0.371, 0.500, 0.742) x2
Au (0.209, 0.500, 0.001) x2

---

No. 10
DFT (GGA-PBE) results for a relaxed BeRu crystal.

Output
The density comes out at 7.933 g/cm3. The calculation puts the calculated formation energy at 17.72 kJ per mole of atoms. The density of states at the Fermi level is 4.957 states/eV per cell. The value obtained for the total energy is -25.269 eV/cell. The value obtained for the total magnetic moment is 0.6 μB per formula unit.

Lattice parameters (Å, degrees): 3.5383 3.5383 4.2506 90.00 90.00 120.00
Space group P6_3/mmc (No. 194)
One atom of each set of equivalent atoms:
Be (0.0000, 0.0000, 0.0000) x2
Ru (0.3333, 0.6667, 0.2500) x2

---

No. 11
DFT (GGA-PBE) results for a relaxed Zr3TlTc crystal.

Output
The density comes out at 7.464 g/cm3. The calculation puts the calculated formation energy at 36.27 kJ per mole of atoms. The density of states at the Fermi level is 9.420 states/eV per cell. The value obtained for the total energy is -36.497 eV/cell. The value obtained for the total magnetic moment is 0.0 μB per formula unit.

Lattice parameters (Å, degrees): 5.042 5.042 5.042 90.00 90.00 90.00
Space group Pm-3m (No. 221)
One atom of each set of equivalent atoms:
Zr (0.000, 0.000, 0.500) x3
Tl (0.500, 0.500, 0.500) x1
Tc (0.000, 0.000, 0.000) x1

---

No. 12
DFT (GGA-PBE) results for a relaxed PuCuSi2 crystal.

Output
The density comes out at 8.929 g/cm3. The density of states at the Fermi level is 9.173 states/eV per cell. The value obtained for the total energy is -29.872 eV/cell. The value obtained for the total magnetic moment is 5.0 μB per formula unit.

Lattice parameters (Å, degrees): 4.135 4.135 3.957 90.00 90.00 90.00
Space group P4/mmm (No. 123)
One atom of each set of equivalent atoms:
Pu (0.000, 0.000, 0.000) x1
Cu (0.500, 0.500, 0.000) x1
Si (0.000, 0.500, 0.500) x2

---

No. 13
DFT (GGA-PBE) results for a relaxed GdTe2Ir crystal.

Output
The density comes out at 8.096 g/cm3. The density of states at the Fermi level is 12.187 states/eV per cell. The value obtained for the total energy is -90.087 eV/cell. The value obtained for the total magnetic moment is 7.2 μB per formula unit.

Lattice parameters (Å, degrees): 4.0041 4.0041 26.7960 90.00 90.00 120.00
Space group R-3m (No. 166, hexagonal axes)
One atom of each set of equivalent atoms:
Gd (0.0000, 0.0000, 0.0000) x3
Te (0.0000, 0.0000, 0.1162) x6
Ir (0.0000, 0.0000, 0.5000) x3

---

No. 14
DFT (GGA-PBE) results for a relaxed CeNd3Tm6 crystal.

Output
The density comes out at 7.782 g/cm3. The calculation puts the calculated formation energy at 30.41 kJ per mole of atoms. The density of states at the Fermi level is 36.122 states/eV per cell. The value obtained for the total energy is -87.829 eV/cell. The value obtained for the total magnetic moment is 1.3 μB per formula unit. For the energy relative to the lowest polymorph listed for this composition, the calculation gives 217.5 meV per atom.

Lattice parameters (Å, degrees): 9.001 8.602 8.897 90.00 100.67 90.00
Space group C2/m (No. 12)
One atom of each set of equivalent atoms:
Ce (0.000, 0.000, 0.000) x2
Nd (0.000, 0.500, 0.500) x2
Nd (0.219, 0.500, 0.231) x4
Tm (0.117, 0.000, 0.367) x4
Tm (0.121, 0.319, 0.857) x8

---

No. 15
DFT (GGA-PBE) results for a relaxed NpGeS3 crystal.

Output
The density comes out at 6.399 g/cm3. The density of states at the Fermi level is 28.598 states/eV per cell. The value obtained for the total energy is -135.490 eV/cell. The value obtained for the total magnetic moment is 3.0 μB per formula unit. For the energy relative to the lowest polymorph listed for this composition, the calculation gives 0.0 meV per atom.

Lattice parameters (Å, degrees): 7.683 3.761 14.579 90.00 90.00 90.00
Space group Pnma (No. 62)
One atom of each set of equivalent atoms:
Np (0.149, 0.250, 0.198) x4
Ge (0.192, 0.750, 0.439) x4
S (0.008, 0.250, 0.378) x4
S (0.148, 0.250, 0.787) x4
S (0.148, 0.750, 0.068) x4

---

No. 16
DFT (GGA-PBE) results for a relaxed La2NiBAu crystal.

Output
The density comes out at 8.032 g/cm3. The calculation puts the calculated formation energy at -37.72 kJ per mole of atoms. The density of states at the Fermi level is 4.209 states/eV per cell. The value obtained for the total energy is -27.546 eV/cell. The value obtained for the total magnetic moment is 0.0 μB per formula unit.

Lattice parameters (Å, degrees): 5.427 5.427 3.820 90.00 90.00 90.00
Space group P4/mmm (No. 123)
One atom of each set of equivalent atoms:
La (0.000, 0.500, 0.000) x2
Ni (0.000, 0.000, 0.500) x1
B (0.000, 0.000, 0.000) x1
Au (0.500, 0.500, 0.500) x1

---

No. 17
DFT (GGA-PBE) results for a relaxed NdScHg4 crystal.

Output
The density comes out at 11.120 g/cm3. The calculation puts the calculated formation energy at -27.88 kJ per mole of atoms. The density of states at the Fermi level is 8.611 states/eV per cell. The value obtained for the total energy is -28.081 eV/cell. The value obtained for the total magnetic moment is 0.3 μB per formula unit. For the energy relative to the lowest polymorph listed for this composition, the calculation gives 0.0 meV per atom.

Lattice parameters (Å, degrees): 10.345 3.832 7.929 90.00 109.57 90.00
Space group C2/m (No. 12)
One atom of each set of equivalent atoms:
Nd (0.000, 0.000, 0.000) x2
Sc (0.000, 0.000, 0.500) x2
Hg (0.165, 0.500, 0.810) x4
Hg (0.166, 0.500, 0.351) x4

---

No. 18
DFT (GGA-PBE) results for a relaxed Nb2Si2Te crystal.

Output
The density comes out at 6.882 g/cm3. The density of states at the Fermi level is 11.007 states/eV per cell. The value obtained for the total energy is -71.522 eV/cell. The value obtained for the total magnetic moment is 0.0 μB per formula unit. For the energy relative to the lowest polymorph listed for this composition, the calculation gives 0.0 meV per atom.

Lattice parameters (Å, degrees): 3.539 3.539 14.240 90.00 90.00 90.00
Space group I4/mmm (No. 139)
One atom of each set of equivalent atoms:
Nb (0.000, 0.000, 0.111) x4
Si (0.000, 0.500, 0.250) x4
Te (0.000, 0.000, 0.500) x2

---

No. 19
DFT (GGA-PBE) results for a relaxed CsTbCuTe3 crystal.

Output
The density comes out at 5.509 g/cm3. The density of states at the Fermi level is 5.733 states/eV per cell. The value obtained for the total energy is -49.219 eV/cell. The value obtained for the total magnetic moment is 0.0 μB per formula unit.

Lattice parameters (Å, degrees): 10.624 4.302 10.853 90.00 116.23 90.00
Space group P2_1/m (No. 11)
One atom of each set of equivalent atoms:
Cs (0.221, 0.250, 0.244) x2
Tb (0.321, 0.750, 0.854) x2
Cu (0.085, 0.250, 0.597) x2
Te (0.114, 0.250, 0.849) x2
Te (0.191, 0.750, 0.533) x2
Te (0.480, 0.750, 0.170) x2

---

No. 20
DFT (GGA-PBE) results for a relaxed LiCeH6Pt crystal.

Output
The density comes out at 7.211 g/cm3. The density of states at the Fermi level is 6.326 states/eV per cell. The value obtained for the total energy is -37.184 eV/cell. The value obtained for the total magnetic moment is 1.1 μB per formula unit.

Lattice parameters (Å, degrees): 4.5508 4.5508 4.4704 90.00 90.00 120.00
Space group P-6m2 (No. 187)
One atom of each set of equivalent atoms:
Li (0.0000, 0.0000, 0.0000) x1
Ce (0.3333, 0.6667, 0.5000) x1
H (0.3471, 0.1735, 0.2732) x6
Pt (0.6667, 0.3333, 0.0000) x1